[1]
Entry from Alexandria via LeMat-Bulk: a geometry-optimized Ge3PbSe structure (PBE).

Uncorrected formation energy, eV per atom: 1.0675
Energy above the lowest structure with this stoichiometry, meV/atom: 548

Cell and atoms, written as POSCAR:
```
Ge3PbSe
1.0
5.466 0.000 0.000
0.000 5.466 0.000
0.000 0.000 5.466
Ge Pb Se
3 1 1
Direct
0.000 0.000 0.500
0.000 0.500 0.000
0.500 0.000 0.000
0.000 0.000 0.000
0.500 0.500 0.500
```

[2]
Entry from Alexandria via LeMat-Bulk: a geometry-optimized Pr4Nd3SmSe8 structure (PBE).

Uncorrected formation energy, eV per atom: -1.8335

Cell and atoms, written as POSCAR:
```
Pr4Nd3SmSe8
1.0
4.238 2.447 6.940
-4.238 2.447 6.940
0.000 -4.894 6.940
Pr Nd Sm Se
4 3 1 8
Direct
0.000 0.000 0.000
0.000 0.500 0.500
0.500 0.000 0.500
0.500 0.500 0.000
0.000 0.000 0.500
0.000 0.500 0.000
0.500 0.000 0.000
0.500 0.500 0.500
0.249 0.249 0.249
0.251 0.747 0.747
0.253 0.253 0.749
0.253 0.749 0.253
0.747 0.251 0.747
0.747 0.747 0.251
0.749 0.253 0.253
0.751 0.751 0.751
```

[3]
Entry from Alexandria via LeMat-Bulk: a geometry-optimized Ho4Zn3Pd structure (PBE).

ΔE_f, eV per atom: -0.453
Energy above the lowest structure with this stoichiometry, meV/atom: 44

Cell and atoms, written as POSCAR:
```
Ho4Zn3Pd
1.0
3.676 0.000 0.000
0.000 4.544 0.000
0.000 0.000 10.941
Ho Zn Pd
4 3 1
Direct
0.000 0.000 0.000
0.000 0.500 0.282
0.500 0.000 0.485
0.500 0.500 0.791
0.000 0.000 0.712
0.000 0.500 0.566
0.500 0.500 0.065
0.500 0.000 0.214
```

[4]
Entry from Alexandria via LeMat-Bulk: a geometry-optimized CaCuRh2 structure (PBE).

ΔE_f, eV per atom: 0.003
Energy above the lowest structure with this stoichiometry, meV/atom: 46

Cell and atoms, written as POSCAR:
```
CaCuRh2
1.0
2.913 0.000 0.000
0.000 3.769 0.000
0.000 0.000 6.170
Ca Cu Rh
1 1 2
Direct
0.000 0.000 0.000
0.500 0.500 0.298
0.000 0.000 0.501
0.500 0.500 0.705
```

[5]
Entry from Alexandria via LeMat-Bulk: a geometry-optimized BaTaI2N structure (PBE).

Uncorrected formation energy, eV per atom: 1.3638
Energy above the lowest structure with this stoichiometry, meV/atom: 1854

Cell and atoms, written as POSCAR:
```
BaTaI2N
1.0
6.589 0.000 0.000
0.000 6.589 0.000
0.000 0.000 4.379
Ba Ta I N
1 1 2 1
Direct
0.000 0.000 0.000
0.500 0.500 0.500
0.000 0.500 0.000
0.500 0.000 0.000
0.000 0.000 0.500
```

[6]
Entry from Alexandria via LeMat-Bulk: a geometry-optimized YSc2Te structure (PBE).

Uncorrected formation energy, eV per atom: -0.6500

Cell and atoms, written as POSCAR:
```
YSc2Te
1.0
3.861 0.000 0.000
0.000 11.578 0.000
0.000 0.000 9.153
Y Sc Te
4 8 4
Direct
0.000 0.051 0.250
0.000 0.949 0.750
0.500 0.449 0.750
0.500 0.551 0.250
0.000 0.363 0.037
0.000 0.363 0.463
0.000 0.637 0.537
0.000 0.637 0.963
0.500 0.137 0.537
0.500 0.137 0.963
0.500 0.863 0.037
0.500 0.863 0.463
0.000 0.234 0.750
0.000 0.766 0.250
0.500 0.266 0.250
0.500 0.734 0.750
```

[7]
Entry from Alexandria via LeMat-Bulk: a geometry-optimized Na3ReI2F6 structure (PBE).

Uncorrected formation energy, eV per atom: -1.9320

Cell and atoms, written as POSCAR:
```
Na3ReI2F6
1.0
7.269 -3.398 0.000
7.269 3.398 0.000
-0.012 0.000 5.502
Na Re I F
3 1 2 6
Direct
0.000 0.000 0.000
0.000 0.500 0.500
0.500 0.000 0.500
0.500 0.500 0.500
0.215 0.215 0.000
0.785 0.785 0.000
0.291 0.708 0.741
0.292 0.709 0.259
0.362 0.362 0.499
0.638 0.638 0.501
0.708 0.291 0.741
0.709 0.292 0.259
```

[8]
Entry from Alexandria via LeMat-Bulk: a geometry-optimized PmDy3Al structure (PBE).

ΔE_f, eV per atom: -0.046
Energy above the lowest structure with this stoichiometry, meV/atom: 55

Cell and atoms, written as POSCAR:
```
PmDy3Al
1.0
2.688 -4.650 0.000
2.688 4.650 0.000
0.000 0.000 11.770
Pm Dy Al
2 6 2
Direct
0.167 0.833 0.750
0.833 0.167 0.250
0.166 0.834 0.091
0.166 0.834 0.409
0.499 0.501 0.250
0.501 0.499 0.750
0.834 0.166 0.591
0.834 0.166 0.909
0.500 0.500 0.000
0.500 0.500 0.500
```

[9]
Entry from Alexandria via LeMat-Bulk: a geometry-optimized Li2YZr structure (PBE).

ΔE_f, eV per atom: 0.300
Energy above the lowest structure with this stoichiometry, meV/atom: 162

Cell and atoms, written as POSCAR:
```
Li2YZr
1.0
5.015 0.000 0.000
0.000 5.015 0.000
0.000 0.000 3.504
Li Y Zr
2 1 1
Direct
0.000 0.500 0.000
0.500 0.000 0.000
0.000 0.000 0.500
0.500 0.500 0.500
```

[10]
Entry from Alexandria via LeMat-Bulk: a geometry-optimized CaSiPb structure (PBE).

Uncorrected formation energy, eV per atom: -0.0531
Energy above the lowest structure with this stoichiometry, meV/atom: 282

Cell and atoms, written as POSCAR:
```
CaSiPb
1.0
7.104 0.000 0.000
0.000 7.104 0.000
0.000 0.000 7.104
Ca Si Pb
4 4 4
Direct
0.000 0.000 0.000
0.000 0.500 0.500
0.500 0.000 0.500
0.500 0.500 0.000
0.250 0.250 0.750
0.250 0.750 0.250
0.750 0.250 0.250
0.750 0.750 0.750
0.000 0.000 0.500
0.000 0.500 0.000
0.500 0.000 0.000
0.500 0.500 0.500
```

[11]
Entry from Alexandria via LeMat-Bulk: a geometry-optimized CaZnAu structure (PBE).

ΔE_f, eV per atom: -0.619

Cell and atoms, written as POSCAR:
```
CaZnAu
1.0
-2.268 10.972 3.951
2.268 -10.972 3.951
2.268 10.972 -3.951
Ca Zn Au
6 6 6
Direct
0.000 0.000 0.000
0.067 0.902 0.166
0.336 0.005 0.331
0.407 0.907 0.500
0.674 0.005 0.669
0.736 0.902 0.834
0.175 0.283 0.892
0.350 0.625 0.725
0.391 0.283 0.108
0.721 0.283 0.438
0.846 0.283 0.562
0.900 0.625 0.275
0.013 0.609 0.403
0.063 0.300 0.763
0.206 0.609 0.597
0.536 0.608 0.928
0.537 0.300 0.237
0.680 0.608 0.072
```

[12]
Entry from Alexandria via LeMat-Bulk: a geometry-optimized NdTh structure (PBE).

ΔE_f, eV per atom: 0.062
Energy above the lowest structure with this stoichiometry, meV/atom: 47

Cell and atoms, written as POSCAR:
```
NdTh
1.0
3.597 0.000 0.000
-1.798 3.115 0.000
0.000 0.000 17.845
Nd Th
3 3
Direct
0.000 0.000 0.000
0.333 0.667 0.667
0.667 0.333 0.333
0.000 0.000 0.500
0.333 0.667 0.167
0.667 0.333 0.833
```